# 1
This record from OQMD via LeMat-Bulk describes Na3NbOF6 after structural relaxation. The functional is PBE.

Total energy, eV per formula unit: -61.6
Crystal system: orthorhombic

```
Na3NbOF6
1.0
5.496 0.000 0.000
0.000 5.641 0.000
0.000 0.000 16.429
F Na Nb O
24 12 4 4
Cartesian
3.983 2.224 0.114 F
3.023 4.256 0.965 F
4.790 0.943 2.038 F
2.246 1.908 2.207 F
3.158 4.156 3.321 F
4.672 2.393 3.973 F
0.823 5.214 4.242 F
2.338 1.335 4.893 F
3.250 4.729 6.008 F
0.705 3.763 6.176 F
2.472 1.435 7.250 F
1.513 5.045 8.100 F
4.261 3.417 8.329 F
5.220 1.385 9.180 F
3.453 4.698 10.253 F
0.502 3.732 10.421 F
5.086 1.485 11.536 F
3.571 3.247 12.188 F
1.925 0.427 12.456 F
0.410 4.306 13.108 F
4.994 0.912 14.223 F
2.042 1.877 14.391 F
0.276 4.205 15.464 F
1.235 0.596 16.315 F
1.559 2.770 0.082 Na
1.466 5.545 2.067 Na
1.293 3.022 3.985 Na
4.202 0.202 4.230 Na
4.030 2.725 6.147 Na
3.936 5.590 8.133 Na
1.189 2.871 8.297 Na
1.282 0.095 10.282 Na
1.455 2.618 12.200 Na
4.041 5.439 12.444 Na
4.214 2.916 14.362 Na
4.307 0.050 16.348 Na
4.109 2.876 2.048 Nb
1.387 0.056 6.167 Nb
4.135 2.764 10.263 Nb
1.361 5.585 14.381 Nb
0.149 3.733 1.806 O
5.346 0.912 6.408 O
2.599 1.908 10.021 O
2.897 4.729 14.623 O
```

# 2
This record from OQMD via LeMat-Bulk describes Rb2NaNbF6 after structural relaxation. The functional is PBE.

Total energy, eV per formula unit: -51.7
Crystal system: cubic

```
Rb2NaNbF6
1.0
0.000 4.213 4.213
4.213 0.000 4.213
4.213 4.213 0.000
F Na Nb Rb
6 1 1 2
Cartesian
2.072 4.213 4.213 F
4.213 2.072 4.213 F
4.213 4.213 6.354 F
4.213 4.213 2.072 F
4.213 6.354 4.213 F
6.354 4.213 4.213 F
4.213 4.213 4.213 Na
0.000 0.000 0.000 Nb
2.106 2.106 2.106 Rb
6.319 6.319 6.319 Rb
```

# 3
This record from OQMD via LeMat-Bulk describes NaNb2ZnF11 after structural relaxation. The functional is PBE.

Total energy, eV per formula unit: -84.6
Crystal system: monoclinic

```
NaNb2ZnF11
1.0
-4.317 -3.410 -0.491
0.652 -4.049 3.699
-2.031 6.488 3.399
F Na Nb Zn
11 1 2 1
Cartesian
-2.693 -3.619 0.878 F
-0.971 -3.840 2.330 F
-1.164 -1.271 1.186 F
-4.021 -1.709 1.469 F
-1.054 -2.091 3.971 F
-3.478 -3.422 3.603 F
-2.848 -0.486 3.303 F
-2.217 2.451 3.004 F
-4.642 1.119 2.636 F
-1.674 0.737 5.138 F
-4.532 0.300 5.421 F
0.000 0.000 0.000 Na
-2.329 -2.253 2.419 Nb
-3.367 1.281 4.188 Nb
-1.016 3.244 1.700 Zn
```

# 4
This record from OQMD via LeMat-Bulk describes Na3NdF6 after structural relaxation. The functional is PBE.

Total energy, eV per formula unit: -51.5
Crystal system: monoclinic

```
Na3NdF6
1.0
-1.033 -5.332 1.143
2.208 -1.545 -5.213
8.208 4.249 2.216
F Na Nd
12 6 2
Cartesian
0.578 -2.135 -0.335 F
1.961 -2.133 -3.061 F
2.372 -4.734 -1.514 F
2.216 0.464 0.182 F
3.030 -2.418 0.779 F
4.407 -2.412 -1.934 F
4.976 -0.216 0.080 F
6.353 -0.210 -2.633 F
7.167 -3.093 -2.036 F
7.011 2.105 -0.340 F
7.422 -0.495 1.207 F
8.805 -0.493 -1.519 F
0.587 -3.439 -2.035 Na
3.282 -4.214 -3.483 Na
2.776 -1.085 -1.321 Na
3.588 -0.542 1.680 Na
6.606 -1.543 -0.533 Na
6.100 1.585 1.629 Na
0.000 0.000 0.000 Nd
5.208 1.352 -1.499 Nd
```

# 5
This record from OQMD via LeMat-Bulk describes Na5Nd4Si4O16F after structural relaxation. The functional is PBE.

Total energy, eV per formula unit: -215.0
Crystal system: tetragonal

```
Na5Nd4Si4O16F
1.0
7.901 -2.271 3.218
-7.219 4.841 1.547
-3.840 -7.782 1.622
F Na Nd O Si
1 5 4 16 4
Cartesian
0.000 0.000 0.000 F
0.341 1.285 2.383 Na
-4.640 1.098 3.140 Na
-4.013 -2.029 1.725 Na
0.868 -3.136 4.749 Na
1.471 -6.357 3.161 Na
5.402 -1.581 3.327 Nd
-0.564 -2.246 1.169 Nd
-2.620 -3.067 5.030 Nd
-8.533 -3.530 3.249 Nd
-3.065 2.499 1.915 O
1.758 0.135 4.234 O
1.414 -1.405 2.068 O
-1.692 -0.311 2.101 O
-1.684 0.972 4.454 O
3.088 -2.227 4.022 O
-0.906 -1.507 4.368 O
-3.513 -0.966 4.010 O
0.326 -4.360 2.167 O
-2.185 -3.458 2.479 O
-6.215 -2.871 2.576 O
-1.122 -4.858 4.393 O
-1.779 -6.081 2.100 O
-4.923 -5.133 1.861 O
-4.602 -4.168 4.340 O
-0.158 -7.959 4.014 O
2.464 -0.931 3.225 Si
-1.985 -0.443 3.697 Si
-1.161 -4.729 2.766 Si
-5.632 -4.322 3.088 Si
```

# 6
This record from OQMD via LeMat-Bulk describes NaNp2F8 after structural relaxation. The functional is PBE.

Total energy, eV per formula unit: -78.9
Crystal system: monoclinic

```
NaNp2F8
1.0
-4.459 -4.406 1.670
2.178 -4.270 4.371
-0.904 3.358 2.053
F Na Np
8 1 2
Cartesian
-1.837 -6.811 4.856 F
-1.179 -3.170 3.058 F
-3.797 -4.138 3.789 F
0.216 -4.056 5.422 F
-3.401 -1.261 2.673 F
0.612 -1.179 4.305 F
-2.006 -2.148 5.037 F
-1.348 1.493 3.238 F
0.000 0.000 0.000 Na
-1.928 -4.507 4.966 Np
-1.256 -0.810 3.128 Np
```

# 7
This record from OQMD via LeMat-Bulk describes NaNp2F9 after structural relaxation. The functional is PBE.

Total energy, eV per formula unit: -83.9
Crystal system: orthorhombic

```
NaNp2F9
1.0
-2.612 3.530 -7.190
7.001 -5.920 -5.450
-4.650 -4.859 -0.696
F Na Np
36 4 8
Cartesian
0.218 0.020 -1.984 F
2.215 -1.668 -3.538 F
2.581 -2.280 -6.958 F
4.530 -3.928 -8.475 F
3.211 -3.587 -4.898 F
5.047 -5.139 -6.328 F
-0.816 0.030 -6.299 F
-2.770 1.721 -7.322 F
-0.540 -0.165 -9.059 F
-1.833 -0.429 -3.782 F
0.397 -2.315 -5.519 F
-0.201 -2.457 -2.808 F
0.781 -2.996 -8.662 F
2.617 -4.548 -10.091 F
-0.252 -2.111 -10.782 F
1.696 -3.759 -12.299 F
-3.358 -0.587 -5.919 F
-1.362 -2.275 -7.473 F
1.101 -4.974 -5.863 F
3.098 -6.662 -7.417 F
-1.957 -3.490 -1.037 F
-0.008 -5.138 -2.554 F
-2.878 -2.701 -3.245 F
-1.042 -4.253 -4.674 F
-0.060 -4.792 -10.528 F
-0.658 -4.934 -7.817 F
1.573 -6.820 -9.554 F
0.279 -7.084 -4.277 F
2.509 -8.970 -6.014 F
0.555 -7.279 -7.037 F
-5.308 -2.110 -7.008 F
-3.471 -3.663 -8.438 F
-4.791 -3.321 -4.861 F
-2.842 -4.969 -6.378 F
-2.475 -5.581 -9.798 F
-0.479 -7.269 -11.352 F
2.012 -1.757 -11.164 Na
2.407 -4.474 -7.705 Na
-2.668 -2.776 -5.631 Na
-2.272 -5.492 -2.172 Na
-2.203 1.304 -5.188 Np
0.666 -1.122 -7.421 Np
-1.692 -1.292 -1.712 Np
1.177 -3.718 -3.945 Np
-1.438 -3.531 -9.391 Np
1.432 -5.957 -11.624 Np
-0.927 -6.127 -5.915 Np
1.942 -8.553 -8.148 Np
```

# 8
This record from OQMD via LeMat-Bulk describes NaZrPO4F after structural relaxation. The functional is PBE.

Total energy, eV per formula unit: -57.2
Crystal system: monoclinic

```
NaZrPO4F
1.0
-1.029 4.625 -3.032
-4.232 -0.734 3.633
5.049 1.990 4.026
F Na O P Zr
2 2 8 2 2
Cartesian
-0.204 4.392 -1.117 F
-0.008 1.489 5.744 F
-0.920 3.194 0.374 Na
0.708 2.688 4.253 Na
-1.494 1.061 1.071 O
-3.431 1.136 2.700 O
-1.064 0.808 3.573 O
-1.721 3.024 2.540 O
1.509 2.857 2.087 O
0.852 5.073 1.054 O
3.219 4.745 1.927 O
1.282 4.820 3.557 O
-1.946 1.476 2.511 P
1.734 4.406 2.117 P
0.000 0.000 0.000 Zr
2.524 0.995 2.013 Zr
```

# 9
This record from OQMD via LeMat-Bulk describes Rb2NaPaOF5 after structural relaxation. The functional is PBE.

Total energy, eV per formula unit: -55.9
Crystal system: tetragonal

```
Rb2NaPaOF5
1.0
5.224 0.373 3.325
-3.139 2.857 4.524
-1.936 -5.514 -2.083
F Na O Pa Rb
5 1 1 1 2
Cartesian
3.086 1.004 3.622 F
-1.005 2.219 4.209 F
1.558 2.414 5.865 F
0.603 -0.295 4.817 F
-0.459 -1.995 0.932 F
1.029 1.594 3.873 Na
0.506 0.784 1.905 O
0.023 0.035 0.085 Pa
2.176 -1.746 2.623 Rb
-2.006 -0.504 3.223 Rb
```

# 10
This record from OQMD via LeMat-Bulk describes Na5Pr4Si4O16F after structural relaxation. The functional is PBE.

Total energy, eV per formula unit: -214.6
Crystal system: tetragonal

```
Na5Pr4Si4O16F
1.0
-1.023 -0.712 8.797
4.039 4.610 -6.433
-8.089 3.347 -1.519
F Na O Pr Si
1 5 16 4 4
Cartesian
0.000 0.000 0.000 F
1.508 1.949 1.182 Na
-1.854 2.170 4.986 Na
-3.937 1.780 2.204 Na
-1.081 5.538 -1.315 Na
-3.277 5.001 -4.185 Na
0.095 0.792 4.343 O
1.845 4.202 -0.083 O
0.189 2.546 -1.390 O
-1.057 1.905 1.646 O
0.196 3.807 3.064 O
0.973 4.834 -2.582 O
-1.116 4.473 0.915 O
-2.499 3.698 3.097 O
-2.724 3.354 -2.368 O
-3.696 3.110 0.135 O
-5.899 2.602 3.544 O
-3.708 5.456 -0.995 O
-5.392 3.563 -1.878 O
-6.823 2.681 1.012 O
-5.545 4.819 2.006 O
-5.430 6.114 -3.703 O
2.891 4.227 -4.110 Pr
-1.876 1.707 -0.650 Pr
-3.306 5.397 1.410 Pr
-7.856 3.158 5.041 Pr
1.397 3.632 -1.542 Si
-1.141 3.432 2.206 Si
-3.889 3.869 -1.327 Si
-6.514 3.557 2.353 Si
```

# 11
This record from OQMD via LeMat-Bulk describes Rb2NaPtOF5 after structural relaxation. The functional is PBE.

Total energy, eV per formula unit: -43.4
Crystal system: tetragonal

```
Rb2NaPtOF5
1.0
-2.971 2.971 4.208
2.971 -2.971 4.208
2.971 2.971 -4.208
F Na O Pt Rb
5 1 1 1 2
Cartesian
-1.574 1.574 4.235 F
0.000 0.000 6.343 F
1.574 -1.574 4.235 F
1.397 1.397 0.027 F
1.574 1.574 4.235 F
0.000 0.000 4.133 Na
0.000 0.000 1.974 O
0.000 0.000 0.042 Pt
0.000 2.971 2.115 Rb
2.971 0.000 2.115 Rb
```

# 12
This record from OQMD via LeMat-Bulk describes Rb2NaReOF5 after structural relaxation. The functional is PBE.

Total energy, eV per formula unit: -52.9
Crystal system: tetragonal

```
Rb2NaReOF5
1.0
0.868 0.109 5.894
1.412 5.779 -0.336
-5.194 -1.920 -2.201
F Na O Rb Re
5 1 1 2 1
Cartesian
0.999 1.461 4.417 F
1.728 4.461 4.211 F
1.284 4.435 1.149 F
-1.926 0.491 0.279 F
-0.985 3.485 3.086 F
1.126 2.909 2.746 Na
0.528 1.364 1.288 O
-1.589 0.578 3.247 Rb
-1.316 3.413 0.132 Rb
0.022 0.056 0.053 Re
```

# 13
This record from OQMD via LeMat-Bulk describes Na3ReO3F3 after structural relaxation. The functional is PBE.

Total energy, eV per formula unit: -58.3
Crystal system: trigonal

```
Na3ReO3F3
1.0
2.776 1.603 4.699
-2.776 1.603 4.699
0.000 -3.206 4.699
F Na O Re
3 3 3 1
Cartesian
1.228 1.468 6.150 F
-1.886 0.329 6.150 F
0.658 -1.798 6.150 F
0.000 0.000 3.214 Na
0.000 0.000 7.194 Na
0.000 0.000 10.283 Na
-0.628 1.697 8.687 O
1.784 -0.305 8.687 O
-1.156 -1.392 8.687 O
0.000 0.000 0.009 Re
```

# 14
This record from OQMD via LeMat-Bulk describes NaZnSO4F after structural relaxation. The functional is PBE.

Energy above the lowest structure with this stoichiometry, eV per atom: 0.000
Crystal system: monoclinic

```
NaZnSO4F
1.0
3.937 2.875 2.362
-4.114 0.085 3.524
2.322 -6.619 0.189
F Na O S Zn
2 2 8 2 2
Cartesian
3.798 0.971 2.513 F
-1.653 -4.630 3.562 F
1.798 0.278 2.802 Na
0.347 -3.937 3.274 Na
-0.465 0.181 2.079 O
-2.002 0.072 3.944 O
-1.477 -1.968 2.681 O
0.218 -0.957 4.080 O
1.927 -2.701 1.996 O
3.622 -1.690 3.395 O
4.147 -3.731 2.131 O
2.610 -3.840 3.997 O
-0.949 -0.674 3.198 S
3.094 -2.984 2.877 S
0.000 0.000 0.000 Zn
1.161 -3.309 0.095 Zn
```

# 15
This record from OQMD via LeMat-Bulk describes Na5Tb4Si4O16F after structural relaxation. The functional is PBE.

Total energy, eV per formula unit: -215.9
Crystal system: tetragonal

```
Na5Tb4Si4O16F
1.0
-5.787 5.787 2.698
5.787 -5.787 2.698
5.787 5.787 -2.698
F Na O Si Tb
1 5 16 4 4
Cartesian
0.000 0.000 2.698 F
0.000 0.000 0.000 Na
4.587 -1.031 2.661 Na
1.031 4.587 2.735 Na
4.756 1.200 0.037 Na
1.200 6.818 -0.037 Na
3.440 -3.051 2.351 O
2.148 -0.555 1.263 O
2.398 -0.379 4.007 O
0.555 2.148 4.133 O
0.378 2.398 1.389 O
-1.290 4.530 2.791 O
2.736 2.346 0.347 O
1.257 4.496 -0.093 O
4.530 1.290 2.605 O
3.051 3.440 3.045 O
7.077 1.257 0.093 O
5.408 3.388 -1.309 O
5.232 3.639 1.435 O
3.388 6.165 1.309 O
3.639 6.342 -1.435 O
2.346 8.838 -0.347 O
-2.922 4.591 2.646 Si
1.196 2.865 0.052 Si
4.591 2.922 2.751 Si
8.709 1.196 -0.052 Si
-1.341 2.110 2.827 Tb
2.110 1.341 2.569 Tb
3.677 4.446 -0.129 Tb
7.128 3.677 0.129 Tb
```